# 1
8
Lattice="-3.0881 3.0881 4.8385 3.0881 -3.0881 4.8385 3.0881 3.0881 -4.8385" Properties=species:S:1:pos:R:3 comment="TeP2Ir (GGA-PBE, optimized geometry)" e_form_raw_ev_per_atom=0.057 crystal_system=tetragonal spacegroup="I-42d (122)" pbc="T T T"
Te 0.0000 0.0000 0.0000
Te 0.0000 3.0881 2.4193
P 1.5441 -1.1154 3.6289
P 1.9727 1.5441 1.2096
P 1.5441 4.2035 -1.2096
P 1.1154 1.5441 6.0481
Ir 3.0881 0.0000 2.4193
Ir 0.0000 0.0000 4.8385



# 2
10
Lattice="5.8924 -4.3300 0.0000 5.8924 4.3300 0.0000 -4.7195 0.0000 6.0062" Properties=species:S:1:pos:R:3 comment="PmTm3Ga (GGA-PBE, optimized geometry)" delta_e_f_ev_per_atom=-0.074 crystal_system=monoclinic spacegroup="C2/m (12)" pbc="T T T"
Pm -0.8914 0.0000 1.9229
Pm 7.9567 0.0000 4.0834
Tm 2.2908 1.6842 1.5926
Tm 1.5812 0.0000 4.3961
Tm 2.2908 -1.6842 1.5926
Tm 4.7745 1.6842 4.4136
Tm 5.4841 0.0000 1.6101
Tm 4.7745 -1.6842 4.4136
Ga -1.1519 0.0000 5.4566
Ga 8.2172 0.0000 0.5496



# 3
8
Lattice="-3.8506 3.8506 3.4287 3.8506 -3.8506 3.4287 3.8506 3.8506 -3.4287" Properties=species:S:1:pos:R:3 comment="Y2CrP (GGA-PBE, optimized geometry)" delta_e_f_ev_per_atom=-0.026 crystal_system=tetragonal spacegroup="I-42d (122)" pbc="T T T"
Y 1.9253 1.7002 -0.8572
Y 2.1504 -1.9253 4.2859
Y 1.9253 2.1504 2.5715
Y 1.7002 5.7759 0.8572
Cr 3.8506 0.0000 1.7143
Cr 0.0000 0.0000 3.4287
P 0.0000 0.0000 0.0000
P 0.0000 3.8506 1.7143



# 4
12
Lattice="-2.0792 2.0792 14.4825 2.0792 -2.0792 14.4825 2.0792 2.0792 -14.4825" Properties=species:S:1:pos:R:3 comment="Sm3Sb2Pt7 (GGA-PBE, optimized geometry)" e_form_raw_ev_per_atom=-0.800 crystal_system=tetragonal spacegroup="I4/mmm (139)" pbc="T T T"
Sm 0.0000 0.0000 0.0000
Sm 0.0000 0.0000 5.1835
Sm 0.0000 0.0000 23.7815
Sb 0.0000 0.0000 10.7257
Sb 0.0000 0.0000 18.2392
Pt 2.0792 0.0000 2.1357
Pt 0.0000 0.0000 8.0513
Pt 2.0792 0.0000 12.3467
Pt 0.0000 0.0000 14.4825
Pt 0.0000 2.0792 2.1357
Pt 0.0000 0.0000 20.9136
Pt 0.0000 2.0792 12.3467



# 5
10
Lattice="4.4947 0.0000 0.0000 0.0000 4.4947 0.0000 0.0000 0.0000 10.6742" Properties=species:S:1:pos:R:3 comment="Pm2Sb4IrRh3 (GGA-PBE, optimized geometry)" e_form_raw_ev_per_atom=-0.733 crystal_system=tetragonal spacegroup="P-4m2 (115)" pbc="T T T"
Pm 0.0000 2.2473 2.5748
Pm 2.2473 0.0000 8.0994
Sb 0.0000 0.0000 5.3371
Sb 0.0000 2.2473 9.2405
Sb 2.2473 0.0000 1.4337
Sb 2.2473 2.2473 5.3371
Ir 2.2473 2.2473 0.0000
Rh 0.0000 0.0000 0.0000
Rh 0.0000 2.2473 6.6861
Rh 2.2473 0.0000 3.9881



# 6
9
Lattice="5.6316 0.0000 0.0000 -2.8158 4.8771 0.0000 0.0000 0.0000 4.8560" Properties=species:S:1:pos:R:3 comment="CaPaBiO6 (GGA-PBE, optimized geometry)" e_form_raw_ev_per_atom=-2.362 crystal_system=trigonal spacegroup="P312 (149)" pbc="T T T"
Ca 0.0000 0.0000 0.0000
Pa 2.8158 1.6257 2.4280
Bi 0.0000 3.2514 0.0000
O -0.9968 1.7487 1.1955
O -1.7998 3.1395 3.6605
O 0.9968 1.7487 3.6605
O -0.8030 4.8661 1.1955
O 1.7998 3.1395 1.1955
O 0.8030 4.8661 3.6605